Record 1
Compound: BaLiTlHg2
Source: Alexandria
Functional: GGA-PBE
Structure: relaxed

Output
Energy above the most stable polymorph in this dataset in meV/atom: 43
DFT formation energy in eV per atom: -0.32
Mass density in g/cm³: 8.55
Space-group type: No. 123
V in Å³/atom: 29.11

Structure (CIF):
```
data_BaLiTlHg2
_chemical_formula_sum 'Ba1 Li1 Tl1 Hg2'
_cell_length_a 5.260
_cell_length_b 5.260
_cell_length_c 5.260
_cell_angle_alpha 90.00
_cell_angle_beta 90.00
_cell_angle_gamma 90.00
_symmetry_space_group_name_H-M 'P 1'
_symmetry_Int_Tables_number 1
_symmetry_space_group_name_Hall 'P 1'
loop_
_atom_site_label
_atom_site_fract_x
_atom_site_fract_y
_atom_site_fract_z
_atom_site_occupancy
Hg1 0.500 0.000 0.000 1
Hg2 0.000 0.500 0.000 1
Tl1 0.000 0.000 0.500 1
Ba1 0.500 0.500 0.500 1
Li1 0.000 0.000 0.000 1
```

=====

Record 2
Compound: ErMgAl2
Source: Alexandria
Functional: GGA-PBE
Structure: relaxed

Output
DFT formation energy in eV per atom: -0.19
Mass density in g/cm³: 4.89
Space-group type: No. 123
V in Å³/atom: 20.86

Structure (CIF):
```
data_ErMgAl2
_chemical_formula_sum 'Er1 Mg1 Al2'
_cell_length_a 3.417
_cell_length_b 3.417
_cell_length_c 7.146
_cell_angle_alpha 90.00
_cell_angle_beta 90.00
_cell_angle_gamma 90.00
_symmetry_space_group_name_H-M 'P 1'
_symmetry_Int_Tables_number 1
_symmetry_space_group_name_Hall 'P 1'
loop_
_atom_site_label
_atom_site_fract_x
_atom_site_fract_y
_atom_site_fract_z
_atom_site_occupancy
Mg1 0.500 0.500 0.000 1
Al1 0.000 0.000 0.225 1
Al2 0.000 0.000 0.775 1
Er1 0.500 0.500 0.500 1
```

=====

Record 3
Compound: Pm2CuH
Source: Alexandria
Functional: GGA-PBE
Structure: relaxed

Output
Energy above the most stable polymorph in this dataset in meV/atom: 147
Mass density in g/cm³: 7.44
Space-group type: No. 123
V in Å³/atom: 19.79

Structure (CIF):
```
data_Pm2CuH
_chemical_formula_sum 'Pm2 Cu1 H1'
_cell_length_a 3.335
_cell_length_b 3.335
_cell_length_c 7.118
_cell_angle_alpha 90.00
_cell_angle_beta 90.00
_cell_angle_gamma 90.00
_symmetry_space_group_name_H-M 'P 1'
_symmetry_Int_Tables_number 1
_symmetry_space_group_name_Hall 'P 1'
loop_
_atom_site_label
_atom_site_fract_x
_atom_site_fract_y
_atom_site_fract_z
_atom_site_occupancy
H1 0.500 0.500 0.500 1
Cu1 0.500 0.500 0.000 1
Pm1 0.000 0.000 0.263 1
Pm2 0.000 0.000 0.737 1
```

=====

Record 4
Compound: Rb2NaCd4
Source: Alexandria
Functional: GGA-PBE
Structure: relaxed

Output
DFT formation energy in eV per atom: 0.14
Mass density in g/cm³: 3.36
Space-group type: No. 139
V in Å³/atom: 45.42

Structure (CIF):
```
data_Rb2NaCd4
_chemical_formula_sum 'Rb2 Na1 Cd4'
_cell_length_a 5.800
_cell_length_b 5.800
_cell_length_c 10.303
_cell_angle_alpha 73.65
_cell_angle_beta 73.65
_cell_angle_gamma 90.00
_symmetry_space_group_name_H-M 'P 1'
_symmetry_Int_Tables_number 1
_symmetry_space_group_name_Hall 'P 1'
loop_
_atom_site_label
_atom_site_fract_x
_atom_site_fract_y
_atom_site_fract_z
_atom_site_occupancy
Cd1 0.839 0.839 0.321 1
Rb1 0.361 0.361 0.277 1
Cd2 0.161 0.161 0.679 1
Cd3 0.000 0.500 0.000 1
Na1 0.000 0.000 0.000 1
Rb2 0.639 0.639 0.723 1
Cd4 0.500 0.000 0.000 1
```

=====

Record 5
Compound: PmDyHoHg
Source: Alexandria
Functional: GGA-PBE
Structure: relaxed

Output
Energy above the most stable polymorph in this dataset in meV/atom: 0
DFT formation energy in eV per atom: -0.24
Mass density in g/cm³: 9.55
Space-group type: No. 99
V in Å³/atom: 29.27

Structure (CIF):
```
data_PmDyHoHg
_chemical_formula_sum 'Pm1 Dy1 Ho1 Hg1'
_cell_length_a 3.625
_cell_length_b 3.625
_cell_length_c 8.908
_cell_angle_alpha 90.00
_cell_angle_beta 90.00
_cell_angle_gamma 90.00
_symmetry_space_group_name_H-M 'P 1'
_symmetry_Int_Tables_number 1
_symmetry_space_group_name_Hall 'P 1'
loop_
_atom_site_label
_atom_site_fract_x
_atom_site_fract_y
_atom_site_fract_z
_atom_site_occupancy
Ho1 0.500 0.500 0.789 1
Dy1 0.500 0.500 0.352 1
Hg1 0.000 0.000 0.573 1
Pm1 0.000 0.000 0.070 1
```

=====

Record 6
Compound: YBiRu2
Source: Alexandria
Functional: GGA-PBE
Structure: relaxed

Output
DFT formation energy in eV per atom: 0.52
Mass density in g/cm³: 9.53
Space-group type: No. 122
V in Å³/atom: 21.78

Structure (CIF):
```
data_YBiRu2
_chemical_formula_sum 'Y2 Bi2 Ru4'
_cell_length_a 7.389
_cell_length_b 7.389
_cell_length_c 6.122
_cell_angle_alpha 52.89
_cell_angle_beta 52.89
_cell_angle_gamma 90.00
_symmetry_space_group_name_H-M 'P 1'
_symmetry_Int_Tables_number 1
_symmetry_space_group_name_Hall 'P 1'
loop_
_atom_site_label
_atom_site_fract_x
_atom_site_fract_y
_atom_site_fract_z
_atom_site_occupancy
Ru1 0.648 0.125 0.250 1
Ru2 0.102 0.625 0.250 1
Y1 0.500 0.500 0.000 1
Y2 0.250 0.750 0.500 1
Ru3 0.875 0.898 0.750 1
Ru4 0.375 0.352 0.750 1
Bi1 0.000 0.000 0.000 1
Bi2 0.750 0.250 0.500 1
```

=====

Record 7
Compound: La3Pr2Pd2
Source: Alexandria
Functional: GGA-PBE
Structure: relaxed

Output
DFT formation energy in eV per atom: -0.46
Mass density in g/cm³: 7.07
Space-group type: No. 12
V in Å³/atom: 30.56

Structure (CIF):
```
data_La3Pr2Pd2
_chemical_formula_sum 'La3 Pr2 Pd2'
_cell_length_a 3.969
_cell_length_b 6.663
_cell_length_c 9.029
_cell_angle_alpha 71.34
_cell_angle_beta 77.30
_cell_angle_gamma 72.67
_symmetry_space_group_name_H-M 'P 1'
_symmetry_Int_Tables_number 1
_symmetry_space_group_name_Hall 'P 1'
loop_
_atom_site_label
_atom_site_fract_x
_atom_site_fract_y
_atom_site_fract_z
_atom_site_occupancy
Pd1 0.158 0.911 0.772 1
La1 0.384 0.789 0.443 1
Pr1 0.840 0.508 0.812 1
Pd2 0.842 0.089 0.228 1
La2 0.500 0.000 0.000 1
La3 0.616 0.211 0.557 1
Pr2 0.160 0.492 0.188 1
```

=====

Record 8
Compound: LiTl
Source: Alexandria
Functional: GGA-PBE
Structure: relaxed

Output
DFT formation energy in eV per atom: -0.13
Mass density in g/cm³: 7.58
Space-group type: No. 166
V in Å³/atom: 23.15

Structure (CIF):
```
data_LiTl
_chemical_formula_sum 'Li1 Tl1'
_cell_length_a 5.013
_cell_length_b 5.013
_cell_length_c 5.013
_cell_angle_alpha 39.71
_cell_angle_beta 39.71
_cell_angle_gamma 39.71
_symmetry_space_group_name_H-M 'P 1'
_symmetry_Int_Tables_number 1
_symmetry_space_group_name_Hall 'P 1'
loop_
_atom_site_label
_atom_site_fract_x
_atom_site_fract_y
_atom_site_fract_z
_atom_site_occupancy
Tl1 0.500 0.500 0.500 1
Li1 0.000 0.000 0.000 1
```